Record 1
GaPF | PBE-GGA | relaxed

POSCAR file:
```
GaPF
1.0
-2.001 3.680 3.459
2.001 -3.680 3.459
2.001 3.680 -3.459
Ga P F
2 2 2
direct
0.242 0.000 0.242
0.758 0.000 0.758
0.019 0.671 0.349
0.322 0.671 0.651
0.598 0.098 0.500
0.864 0.864 0.000
```

## Properties
* relative energy among the computed polymorphs: 0.000 eV/atom
* uncorrected energy: -4.69 eV per atom
* calculated volume: 16.98 Å³/atom
* E_form (uncorrected): -3.75 eV/f.u.
* space-group type: Imm2 (44)

Record 2
CsBa2TaZn | PBE-GGA | relaxed

POSCAR file:
```
CsBa2TaZn
1.0
6.345 0.000 0.000
0.000 6.345 0.000
0.000 0.000 5.440
Cs Ba Ta Zn
1 2 1 1
direct
0.000 0.000 0.000
0.000 0.500 0.000
0.500 0.000 0.000
0.500 0.500 0.500
0.000 0.000 0.500
```

## Properties
* ΔH_f (0 K): 1726 meV/atom
* uncorrected energy: -1.84 eV per atom
* calculated volume: 43.80 Å³/atom
* space-group type: P4/mmm (123)

Record 3
TbTm2UN4 | PBE-GGA | relaxed

POSCAR file:
```
TbTm2UN4
1.0
5.930 0.000 0.000
0.000 3.430 0.000
-1.936 0.000 5.619
Tb Tm U N
1 2 1 4
direct
0.000 0.000 0.000
0.500 0.000 0.500
0.500 0.500 0.000
0.000 0.500 0.500
0.245 0.500 0.265
0.249 0.000 0.743
0.751 0.000 0.257
0.755 0.500 0.735
```

## Properties
* uncorrected energy: -8.92 eV per atom
* calculated volume: 14.28 Å³/atom
* E_form (uncorrected): -13.23 eV/f.u.
* space-group type: P2/m (10)

Question: Number 1 is which compound?
Answer: GaPF

Question: Which formula does entry 3 have?
Answer: TbTm2UN4

Question: Which value of uncorrected energy does entry 1 give?
Answer: -4.69 eV per atom

Question: uncorrected energy of number 2 (CsBa2TaZn)?
Answer: -1.84 eV per atom